(1)
Material: Cu2Pd3Au3
Method: DFT, PBE
State: relaxed

Lattice parameters (Å, degrees): 15.845 4.073 3.986 90.00 104.50 90.00
Space group C2/m (No. 12)
Asymmetric unit:
Cu1 0.249 0.000 0.249 (multiplicity 4)
Pd1 0.000 0.500 0.500 (multiplicity 2)
Pd2 0.136 0.000 0.635 (multiplicity 4)
Au1 0.000 0.000 0.000 (multiplicity 2)
Au2 0.135 0.500 0.135 (multiplicity 4)

Summary:
energy relative to the elements: -0.88 eV per formula unit
VASP energy: -4.31 eV per atom
spin magnetization: 0.000 μB per cell
offset from the most stable computed form: 0.0 meV per atom

(2)
Material: Sr2Tm2Mg15
Method: DFT, PBE
State: relaxed

Lattice parameters (Å, degrees): 10.6843 10.6843 15.6545 90.00 90.00 120.00
Space group R-3m (No. 166, hexagonal axes)
Asymmetric unit:
Sr1 0.0000 0.0000 0.1601 (multiplicity 6)
Tm1 0.0000 0.0000 0.4008 (multiplicity 6)
Mg1 0.0000 0.2897 0.5000 (multiplicity 18)
Mg2 0.0000 0.5000 0.0000 (multiplicity 9)
Mg3 0.0015 0.5007 0.6483 (multiplicity 18)

Summary:
energy relative to the elements: -0.39 eV per formula unit
VASP energy: -1.93 eV per atom
spin magnetization: 0.001 μB per cell

(3)
Material: LiInPd6
Method: DFT, PBE
State: relaxed

Lattice parameters (Å, degrees): 5.6425 5.6425 4.5620 90.00 90.00 120.00
Space group P-6m2 (No. 187)
Asymmetric unit:
Li1 0.0000 0.0000 0.0000 (multiplicity 1)
In1 0.3333 0.6667 0.5000 (multiplicity 1)
Pd1 0.3307 0.1654 0.5000 (multiplicity 3)
Pd2 0.5020 0.0040 0.0000 (multiplicity 3)

Summary:
energy relative to the elements: -2.58 eV per formula unit
VASP energy: -4.80 eV per atom
spin magnetization: 0.000 μB per cell
offset from the most stable computed form: 0.0 meV per atom

(4)
Material: Pm3Cu4Ni4
Method: DFT, PBE
State: relaxed

Lattice parameters (Å, degrees): 7.296 7.296 7.296 90.00 90.00 90.00
Space group I-43m (No. 217)
Asymmetric unit:
Pm1 0.000 0.000 0.500 (multiplicity 6)
Cu1 0.200 0.200 0.200 (multiplicity 8)
Ni1 0.117 0.117 0.883 (multiplicity 8)

Summary:
energy relative to the elements: -1.88 eV per formula unit
VASP energy: -5.06 eV per atom
spin magnetization: 0.000 μB per cell